The following is a GGA-PBE calculation of a relaxed structure of MgNbHg2Bi, from the Alexandria database.

Lattice parameters (Å, degrees): 5.145 5.518 5.145 90.00 90.00 90.00
Last column: magnetic moment on the atom in μB.
Fractional coordinates of all 5 atoms:
Bi: 0.000 0.500 0.000  -0.15
Hg: 0.000 0.000 0.500  0.02
Hg: 0.500 0.000 0.000  0.02
Nb: 0.500 0.500 0.500  2.68
Mg: 0.000 0.000 0.000  0.01

Output
electronic total energy = -2.3122 eV per atom
energy of formation from the pure elements = 0.918 eV per atom